1 | Tc3Rh | GGA-PBEsol | optimized geometry

Cell lengths 8.950, 2.683, 4.674 Å; angles 90.00, 99.92, 90.00 degrees
Space group C2/m (No. 12)
Unique sites:
Tc  0.000  0.000  0.000 (multiplicity 2)
Tc  0.250  0.000  0.753 (multiplicity 4)
Rh  0.000  0.500  0.500 (multiplicity 2)

2 | Tc3Rh | GGA-PBEsol | optimized geometry

Cell lengths 2.696, 8.622, 4.729 Å; angles 90.00, 90.00, 90.00 degrees
Space group Imm2 (No. 44)
Unique sites:
Tc  0.000  0.000  0.000 (multiplicity 2)
Tc  0.000  0.251  0.330 (multiplicity 4)
Rh  0.000  0.500  0.997 (multiplicity 2)

Most stable structure - 2; separation to the second - 10.2 kJ/mol of atoms.

1 | Tc3Rh | GGA-PBEsol | optimized geometry

Cell lengths 2.702, 4.312, 4.714 Å; angles 90.00, 90.00, 90.00 degrees
Space group Pmm2 (No. 25)
Unique sites:
Tc  0.000  0.000  0.000 (multiplicity 1)
Tc  0.000  0.500  0.329 (multiplicity 1)
Tc  0.500  0.500  0.830 (multiplicity 1)
Rh  0.500  0.000  0.493 (multiplicity 1)

2 | Tc3Rh | GGA-PBEsol | optimized geometry

Cell lengths 5.427, 13.055, 4.669 Å; angles 90.00, 90.00, 90.00 degrees
Space group Pmmn (No. 59, origin choice 2)
Unique sites:
Tc  0.002  0.250  0.005 (multiplicity 4)
Tc  0.003  0.586  0.333 (multiplicity 8)
Tc  0.250  0.086  0.165 (multiplicity 4)
Tc  0.250  0.750  0.490 (multiplicity 2)
Rh  0.250  0.250  0.507 (multiplicity 2)
Rh  0.250  0.584  0.835 (multiplicity 4)

Most stable structure - 1; separation to the second - 3.3 kJ/mol of atoms.